Entry from Alexandria: a relaxed structure of Ba5SrMg6 (PBE).

abc: 10.620 10.620 10.620
angles: 146.47 131.70 60.08
Positions (direct):
Ba 0.000 0.000 0.000
Ba 0.166 0.666 0.500
Ba 0.332 0.332 0.000
Ba 0.668 0.668 0.000
Ba 0.834 0.334 0.500
Sr 0.500 0.000 0.500
Mg 0.091 0.835 0.255
Mg 0.258 0.500 0.758
Mg 0.420 0.165 0.255
Mg 0.580 0.835 0.745
Mg 0.742 0.500 0.242
Mg 0.909 0.165 0.745

Total moment: 0.000 μB per formula unit
Density of states at the Fermi level: 9.96 states/eV/cell
Space group: Immm (71)
Energy of formation from the pure elements: -1.297 kcal/mol of atoms